Entry 1:
This record from Alexandria via LeMat-Bulk describes a geometry-optimized ScPtSeN2 structure. The functional is PBE.

Results
- formation energy from raw total energies (meV per atom) = 598.3
- total DFT energy (no corrections) (eV per cell) = -29.5
- excess energy over the best structure of this formula in the dataset (meV per atom) = 0

The structure in CIF format:
```
data_ScPtSeN2
_cell_length_a 3.914
_cell_length_b 3.914
_cell_length_c 5.260
_cell_angle_alpha 90.00
_cell_angle_beta 90.00
_cell_angle_gamma 90.00
_symmetry_space_group_name_H-M 'P 4/m m m'
_symmetry_Int_Tables_number 123
_symmetry_space_group_name_Hall '-P 4 2'
loop_
_atom_site_label
_atom_site_fract_x
_atom_site_fract_y
_atom_site_fract_z
Sc1 0.000 0.000 0.000
Pt1 0.500 0.500 0.500
Se1 0.500 0.500 0.000
N1 0.000 0.500 0.500
```



Entry 2:
This record from Alexandria via LeMat-Bulk describes a geometry-optimized ScTe2PtN structure. The functional is PBE.

Results
- formation energy from raw total energies (meV per atom) = 79.7
- total DFT energy (no corrections) (eV per cell) = -26.6
- excess energy over the best structure of this formula in the dataset (meV per atom) = 0

The structure in CIF format:
```
data_ScTe2PtN
_cell_length_a 5.567
_cell_length_b 5.567
_cell_length_c 3.726
_cell_angle_alpha 90.00
_cell_angle_beta 90.00
_cell_angle_gamma 90.00
_symmetry_space_group_name_H-M 'P 4/m m m'
_symmetry_Int_Tables_number 123
_symmetry_space_group_name_Hall '-P 4 2'
loop_
_atom_site_label
_atom_site_fract_x
_atom_site_fract_y
_atom_site_fract_z
Sc1 0.000 0.000 0.000
Te1 0.000 0.500 0.500
Pt1 0.500 0.500 0.500
N1 0.500 0.500 0.000
```



Entry 3:
This record from Alexandria via LeMat-Bulk describes a geometry-optimized ScTe2PtN structure. The functional is PBE.

Results
- formation energy from raw total energies (meV per atom) = 481.7
- total DFT energy (no corrections) (eV per cell) = -24.6
- excess energy over the best structure of this formula in the dataset (meV per atom) = 402

The structure in CIF format:
```
data_ScTe2PtN
_cell_length_a 5.601
_cell_length_b 5.601
_cell_length_c 3.748
_cell_angle_alpha 90.00
_cell_angle_beta 90.00
_cell_angle_gamma 90.00
_symmetry_space_group_name_H-M 'P 4/m m m'
_symmetry_Int_Tables_number 123
_symmetry_space_group_name_Hall '-P 4 2'
loop_
_atom_site_label
_atom_site_fract_x
_atom_site_fract_y
_atom_site_fract_z
Sc1 0.000 0.000 0.000
Te1 0.000 0.500 0.000
Pt1 0.500 0.500 0.500
N1 0.000 0.000 0.500
```



Entry 4:
This record from Alexandria via LeMat-Bulk describes a geometry-optimized ScTi2PtN structure. The functional is PBE.

Results
- formation energy from raw total energies (meV per atom) = -1203.2
- total DFT energy (no corrections) (eV per cell) = -42.5

The structure in CIF format:
```
data_ScTi2PtN
_cell_length_a 4.113
_cell_length_b 4.113
_cell_length_c 4.338
_cell_angle_alpha 90.00
_cell_angle_beta 90.00
_cell_angle_gamma 90.00
_symmetry_space_group_name_H-M 'P 4/m m m'
_symmetry_Int_Tables_number 123
_symmetry_space_group_name_Hall '-P 4 2'
loop_
_atom_site_label
_atom_site_fract_x
_atom_site_fract_y
_atom_site_fract_z
Sc1 0.000 0.000 0.000
Ti1 0.000 0.500 0.500
Pt1 0.500 0.500 0.000
N1 0.000 0.000 0.500
```



Entry 5:
This record from Alexandria via LeMat-Bulk describes a geometry-optimized TmSc2PtN structure. The functional is PBE.

Results
- formation energy from raw total energies (meV per atom) = -1260.1
- total DFT energy (no corrections) (eV per cell) = -37.8

The structure in CIF format:
```
data_TmSc2PtN
_cell_length_a 4.310
_cell_length_b 4.310
_cell_length_c 4.763
_cell_angle_alpha 90.00
_cell_angle_beta 90.00
_cell_angle_gamma 90.00
_symmetry_space_group_name_H-M 'P 4 m m'
_symmetry_Int_Tables_number 99
_symmetry_space_group_name_Hall 'P 4 -2'
loop_
_atom_site_label
_atom_site_fract_x
_atom_site_fract_y
_atom_site_fract_z
Tm1 0.000 0.000 0.000
Sc1 0.000 0.500 0.500
Pt1 0.500 0.500 0.999
N1 0.000 0.000 0.500
```



Entry 6:
This record from Alexandria via LeMat-Bulk describes a geometry-optimized Sc2VPtN structure. The functional is PBE.

Results
- formation energy from raw total energies (meV per atom) = -1130.2
- total DFT energy (no corrections) (eV per cell) = -41.8

The structure in CIF format:
```
data_Sc2VPtN
_cell_length_a 4.466
_cell_length_b 4.466
_cell_length_c 3.826
_cell_angle_alpha 90.00
_cell_angle_beta 90.00
_cell_angle_gamma 90.00
_symmetry_space_group_name_H-M 'P 4/m m m'
_symmetry_Int_Tables_number 123
_symmetry_space_group_name_Hall '-P 4 2'
loop_
_atom_site_label
_atom_site_fract_x
_atom_site_fract_y
_atom_site_fract_z
Sc1 0.000 0.500 0.000
V1 0.000 0.000 0.500
Pt1 0.500 0.500 0.500
N1 0.000 0.000 0.000
```



Entry 7:
This record from Alexandria via LeMat-Bulk describes a geometry-optimized Y2ScPtN structure. The functional is PBE.

Results
- formation energy from raw total energies (meV per atom) = -1166.2
- total DFT energy (no corrections) (eV per cell) = -39.5

The structure in CIF format:
```
data_Y2ScPtN
_cell_length_a 4.815
_cell_length_b 4.815
_cell_length_c 4.220
_cell_angle_alpha 90.00
_cell_angle_beta 90.00
_cell_angle_gamma 90.00
_symmetry_space_group_name_H-M 'P 4/m m m'
_symmetry_Int_Tables_number 123
_symmetry_space_group_name_Hall '-P 4 2'
loop_
_atom_site_label
_atom_site_fract_x
_atom_site_fract_y
_atom_site_fract_z
Y1 0.000 0.500 0.000
Sc1 0.000 0.000 0.500
Pt1 0.500 0.500 0.500
N1 0.000 0.000 0.000
```



Entry 8:
This record from Alexandria via LeMat-Bulk describes a geometry-optimized Zr2ScPtN structure. The functional is PBE.

Results
- formation energy from raw total energies (meV per atom) = -1158.4
- total DFT energy (no corrections) (eV per cell) = -43.6

The structure in CIF format:
```
data_Zr2ScPtN
_cell_length_a 4.451
_cell_length_b 4.451
_cell_length_c 4.324
_cell_angle_alpha 90.00
_cell_angle_beta 90.00
_cell_angle_gamma 90.00
_symmetry_space_group_name_H-M 'P 4/m m m'
_symmetry_Int_Tables_number 123
_symmetry_space_group_name_Hall '-P 4 2'
loop_
_atom_site_label
_atom_site_fract_x
_atom_site_fract_y
_atom_site_fract_z
Zr1 0.000 0.500 0.000
Sc1 0.000 0.000 0.500
Pt1 0.500 0.500 0.500
N1 0.000 0.000 0.000
```



Entry 9:
This record from Alexandria via LeMat-Bulk describes a geometry-optimized ZrSc2PtN structure. The functional is PBE.

Results
- formation energy from raw total energies (meV per atom) = -1219.2
- total DFT energy (no corrections) (eV per cell) = -41.7

The structure in CIF format:
```
data_ZrSc2PtN
_cell_length_a 4.322
_cell_length_b 4.322
_cell_length_c 4.506
_cell_angle_alpha 90.00
_cell_angle_beta 90.00
_cell_angle_gamma 90.00
_symmetry_space_group_name_H-M 'P 4/m m m'
_symmetry_Int_Tables_number 123
_symmetry_space_group_name_Hall '-P 4 2'
loop_
_atom_site_label
_atom_site_fract_x
_atom_site_fract_y
_atom_site_fract_z
Zr1 0.000 0.000 0.000
Sc1 0.000 0.500 0.500
Pt1 0.500 0.500 0.000
N1 0.000 0.000 0.500
```



Entry 10:
This record from Alexandria via LeMat-Bulk describes a geometry-optimized PtSeN3 structure. The functional is PBE.

Results
- formation energy from raw total energies (meV per atom) = 2307.6
- total DFT energy (no corrections) (eV per cell) = -23.0

The structure in CIF format:
```
data_PtSeN3
_cell_length_a 3.776
_cell_length_b 3.776
_cell_length_c 3.776
_cell_angle_alpha 90.00
_cell_angle_beta 90.00
_cell_angle_gamma 90.00
_symmetry_space_group_name_H-M 'P m -3 m'
_symmetry_Int_Tables_number 221
_symmetry_space_group_name_Hall '-P 4 2 3'
loop_
_atom_site_label
_atom_site_fract_x
_atom_site_fract_y
_atom_site_fract_z
Pt1 0.000 0.000 0.000
Se1 0.500 0.500 0.500
N1 0.000 0.500 0.500
```



Entry 11:
This record from Alexandria via LeMat-Bulk describes a geometry-optimized PtSe2N2 structure. The functional is PBE.

Results
- formation energy from raw total energies (meV per atom) = 1711.3
- total DFT energy (no corrections) (eV per cell) = -21.1
- excess energy over the best structure of this formula in the dataset (meV per atom) = 1948

The structure in CIF format:
```
data_PtSe2N2
_cell_length_a 5.293
_cell_length_b 5.293
_cell_length_c 3.641
_cell_angle_alpha 90.00
_cell_angle_beta 90.00
_cell_angle_gamma 90.00
_symmetry_space_group_name_H-M 'P 4/m m m'
_symmetry_Int_Tables_number 123
_symmetry_space_group_name_Hall '-P 4 2'
loop_
_atom_site_label
_atom_site_fract_x
_atom_site_fract_y
_atom_site_fract_z
Pt1 0.000 0.000 0.000
Se1 0.000 0.500 0.000
N1 0.000 0.000 0.500
N2 0.500 0.500 0.500
```



Entry 12:
This record from Alexandria via LeMat-Bulk describes a geometry-optimized PtSe2N2 structure. The functional is PBE.

Results
- formation energy from raw total energies (meV per atom) = -236.2
- total DFT energy (no corrections) (eV per cell) = -61.7
- excess energy over the best structure of this formula in the dataset (meV per atom) = 0

The structure in CIF format:
```
data_PtSe2N2
_cell_length_a 6.510
_cell_length_b 3.752
_cell_length_c 10.826
_cell_angle_alpha 90.00
_cell_angle_beta 93.62
_cell_angle_gamma 90.00
_symmetry_space_group_name_H-M 'C 1 2/m 1'
_symmetry_Int_Tables_number 12
_symmetry_space_group_name_Hall '-C 2y'
loop_
_atom_site_label
_atom_site_fract_x
_atom_site_fract_y
_atom_site_fract_z
Pt1 0.000 0.000 0.000
Se1 0.154 0.500 0.879
N1 0.037 0.000 0.455
```



Entry 13:
This record from Alexandria via LeMat-Bulk describes a geometry-optimized PtSeN2 structure. The functional is PBE.

Results
- formation energy from raw total energies (meV per atom) = 1350.5
- total DFT energy (no corrections) (eV per cell) = -83.1

The structure in CIF format:
```
data_PtSeN2
_cell_length_a 4.579
_cell_length_b 4.579
_cell_length_c 10.902
_cell_angle_alpha 90.00
_cell_angle_beta 90.00
_cell_angle_gamma 90.00
_symmetry_space_group_name_H-M 'I -4 2 d'
_symmetry_Int_Tables_number 122
_symmetry_space_group_name_Hall 'I -4 2bw'
loop_
_atom_site_label
_atom_site_fract_x
_atom_site_fract_y
_atom_site_fract_z
Pt1 0.000 0.000 0.000
Se1 0.000 0.000 0.500
N1 0.238 0.250 0.125
```



Entry 14:
This record from Alexandria via LeMat-Bulk describes a geometry-optimized PtSeN2 structure. The functional is PBE.

Results
- formation energy from raw total energies (meV per atom) = 1013.3
- total DFT energy (no corrections) (eV per cell) = -66.4

The structure in CIF format:
```
data_PtSeN2
_cell_length_a 3.0692
_cell_length_b 3.0692
_cell_length_c 18.5178
_cell_angle_alpha 90.00
_cell_angle_beta 90.00
_cell_angle_gamma 120.00
_symmetry_space_group_name_H-M 'R -3 m'
_symmetry_Int_Tables_number 166
_symmetry_space_group_name_Hall '-R 3 2"'
loop_
_atom_site_label
_atom_site_fract_x
_atom_site_fract_y
_atom_site_fract_z
Pt1 0.0000 0.0000 0.0000
Se1 0.0000 0.0000 0.5000
N1 0.0000 0.0000 0.1067
```